# Mg2Be2MoO6 (PBE with a Hubbard U, optimized geometry)
data_Mg2Be2MoO6
_space_group_name_H-M_alt 'P -3'
_space_group_IT_number 147
_space_group_name_Hall '-P 3'
_cell_length_a 5.0001
_cell_length_b 5.0001
_cell_length_c 5.1874
_cell_angle_alpha 90.00
_cell_angle_beta 90.00
_cell_angle_gamma 120.00
loop_
_atom_site_label
_atom_site_type_symbol
_atom_site_fract_x
_atom_site_fract_y
_atom_site_fract_z
Mg1 Mg 0.3333 0.6667 0.4017
Be1 Be 0.3333 0.6667 0.8525
Mo1 Mo 0.0000 0.0000 0.0000
O1 O 0.0376 0.6775 0.7676
# Total magnetic moment in μB/atom: 0.18
# ρ in g cm⁻³: 3.8
# Electronic total energy in eV/atom: -6.52